Record 1
PBE Sr2MgCd2Pd5, optimized geometry; energy of formation from the pure elements = -463 meV per atom; symmetry = P4/mbm (127); theoretical density = 7.5 Mg/m³; raw total energy = -37.381 eV per formula unit
1.0
10.6204 0.0000 0.0000
0.0000 10.6204 0.0000
0.0000 0.0000 3.7544
Sr Mg Cd Pd
4 2 4 10
direct
0.1715 0.3285 0.0000
0.3285 0.8285 0.0000
0.6715 0.1715 0.0000
0.8285 0.6715 0.0000
0.0000 0.0000 0.0000
0.5000 0.5000 0.0000
0.1297 0.6297 0.0000
0.3703 0.1297 0.0000
0.6297 0.8703 0.0000
0.8703 0.3703 0.0000
0.0000 0.5000 0.5000
0.0561 0.8107 0.5000
0.1893 0.0561 0.5000
0.3107 0.5561 0.5000
0.4439 0.3107 0.5000
0.5000 0.0000 0.5000
0.5561 0.6893 0.5000
0.6893 0.4439 0.5000
0.8107 0.9439 0.5000
0.9439 0.1893 0.5000

***

Record 2
PBE SrMg4Cd2Pd, optimized geometry; energy of formation from the pure elements = -258 meV per atom; symmetry = R-3m (166); theoretical density = 4.4 Mg/m³; raw total energy = -17.149 eV per formula unit
1.0
2.4235 1.3992 9.4991
-2.4235 1.3992 9.4991
0.0000 -2.7984 9.4991
Sr Mg Cd Pd
1 4 2 1
direct
0.0000 0.0000 0.0000
0.1388 0.1388 0.1388
0.4095 0.4095 0.4095
0.5905 0.5905 0.5905
0.8612 0.8612 0.8612
0.2487 0.2487 0.2487
0.7513 0.7513 0.7513
0.5000 0.5000 0.5000

***

Record 3
PBE TbMgCdPd, optimized geometry; energy of formation from the pure elements = -494 meV per atom; symmetry = F-43m (216); theoretical density = 7.8 Mg/m³; raw total energy = -14.307 eV per formula unit
1.0
0.0000 3.4948 3.4948
3.4948 0.0000 3.4948
3.4948 3.4948 0.0000
Tb Mg Cd Pd
1 1 1 1
direct
0.0000 0.0000 0.0000
0.5000 0.5000 0.5000
0.2500 0.2500 0.2500
0.7500 0.7500 0.7500